No. 1
Entry from Alexandria via LeMat-Bulk: crystalline SrCaRe2Pb at its relaxed geometry (PBE-GGA).

Values from the calculation:
Energy relative to the elements, eV/atom: 1.995
Electronic total energy, eV per atom: -4.46
Total moment, μB/atom: 0.8305

Lattice parameters (Å, degrees): 5.095 5.598 5.095 90.00 90.00 90.00
Each line ends with the local moment (μB).
Element x y z (fractional)
Pb1 0.000 0.500 0.000  -0.10
Re1 0.000 0.000 0.500  1.63
Re2 0.500 0.000 0.000  2.13
Sr1 0.500 0.500 0.500  -0.01
Ca1 0.000 0.000 0.000  0.00



No. 2
Entry from Alexandria via LeMat-Bulk: crystalline ScTa2Mo at its relaxed geometry (PBE-GGA).

Values from the calculation:
Energy relative to the elements, eV/atom: 0.124
Electronic total energy, eV per atom: -10.09
Total moment, μB/atom: 0.0000

Lattice parameters (Å, degrees): 5.529 5.529 2.827 80.45 80.45 117.54
Element x y z (fractional)
Ta1 0.000 0.000 0.000
Ta2 0.500 0.500 0.000
Sc1 0.000 0.500 0.500
Mo1 0.500 0.000 0.500